Here is a relaxed structure of HgBiPt from the Alexandria database. Energies are from PBE.

a = 4.8711 Å, b = 4.8711 Å, c = 3.2989 Å
α = 90.00°, β = 90.00°, γ = 120.00°
Space group P3m1 (No. 156)
Inequivalent atoms, fractional coordinates:
Hg1 0.0000 0.0000 0.0000
Bi1 0.3333 0.6667 0.4998
Pt1 0.6667 0.3333 0.0042

energy above the lowest structure with this stoichiometry	243	meV per atom
ρ	14.81	g cm⁻³